# 1
Crystalline PrPaPb at its relaxed geometry. Source: Alexandria, functional PBE.

Summary:
- Energy above the most stable polymorph in this dataset: 0.00 eV per formula unit
- Calculated formation energy: 33 meV per atom

a = 9.261 Å, b = 9.261 Å, c = 5.948 Å
α = 90.00°, β = 90.00°, γ = 158.91°
Atoms (fractional coordinates):
Pr 0.160 0.840 0.750
Pr 0.840 0.160 0.250
Pa 0.500 0.500 0.000
Pa 0.500 0.500 0.500
Pb 0.342 0.658 0.750
Pb 0.658 0.342 0.250

---

# 2
Crystalline PrPaPb at its relaxed geometry. Source: Alexandria, functional PBE.

Summary:
- Energy above the most stable polymorph in this dataset: 0.22 eV per formula unit
- Calculated formation energy: 107 meV per atom

a = 5.920 Å, b = 5.920 Å, c = 5.920 Å
α = 138.84°, β = 138.84°, γ = 59.61°
Atoms (fractional coordinates):
Pr 0.000 0.000 0.000
Pa 0.693 0.693 0.000
Pb 0.344 0.344 0.000